Record 1
Material: Ca3FeBi
Method: DFT, PBE
State: optimized geometry

Structure (CIF):
```
data_Ca3FeBi
_cell_length_a 5.331
_cell_length_b 5.331
_cell_length_c 5.331
_cell_angle_alpha 90.00
_cell_angle_beta 90.00
_cell_angle_gamma 90.00
_symmetry_space_group_name_H-M 'P 1'
_symmetry_Int_Tables_number 1
loop_
_symmetry_equiv_pos_as_xyz
'x,y,z'
loop_
_atom_site_label
_atom_site_type_symbol
_atom_site_fract_x
_atom_site_fract_y
_atom_site_fract_z
_atom_site_occupancy
Bi1 Bi 0.500 0.500 0.500 1
Fe1 Fe 0.000 0.000 0.000 1
Ca1 Ca 0.000 0.000 0.500 1
Ca2 Ca 0.000 0.500 0.000 1
Ca3 Ca 0.500 0.000 0.000 1
```

**Formation energy from the elements**: 0.086 eV/atom
**Energy relative to the lowest polymorph listed for this composition**: 0 meV/atom
**Fermi-level density of states**: 0.77 states/eV/atom


Record 2
Material: ZnRe2Ni
Method: DFT, PBE
State: optimized geometry

Structure (CIF):
```
data_ZnRe2Ni
_cell_length_a 4.669
_cell_length_b 4.669
_cell_length_c 4.753
_cell_angle_alpha 82.51
_cell_angle_beta 82.51
_cell_angle_gamma 32.72
_symmetry_space_group_name_H-M 'P 1'
_symmetry_Int_Tables_number 1
loop_
_symmetry_equiv_pos_as_xyz
'x,y,z'
loop_
_atom_site_label
_atom_site_type_symbol
_atom_site_fract_x
_atom_site_fract_y
_atom_site_fract_z
_atom_site_occupancy
Re1 Re 0.749 0.749 0.766 1
Re2 Re 0.992 0.992 0.986 1
Ni1 Ni 0.254 0.254 0.272 1
Zn1 Zn 0.505 0.505 0.476 1
```

**Formation energy from the elements**: 0.153 eV/atom
**Fermi-level density of states**: 1.16 states/eV/atom


Record 3
Material: Mn3CdTe
Method: DFT, PBE
State: optimized geometry

Structure (CIF):
```
data_Mn3CdTe
_cell_length_a 4.970
_cell_length_b 4.970
_cell_length_c 4.970
_cell_angle_alpha 90.00
_cell_angle_beta 90.00
_cell_angle_gamma 90.00
_symmetry_space_group_name_H-M 'P 1'
_symmetry_Int_Tables_number 1
loop_
_symmetry_equiv_pos_as_xyz
'x,y,z'
loop_
_atom_site_label
_atom_site_type_symbol
_atom_site_fract_x
_atom_site_fract_y
_atom_site_fract_z
_atom_site_occupancy
Cd1 Cd 0.500 0.500 0.500 1
Mn1 Mn 0.000 0.500 0.000 1
Mn2 Mn 0.500 0.000 0.000 1
Mn3 Mn 0.000 0.000 0.500 1
Te1 Te 0.000 0.000 0.000 1
```

**Formation energy without anion corrections**: 897 meV per atom
**Energy relative to the lowest polymorph listed for this composition**: 0 meV/atom
**Fermi-level density of states**: 0.35 states/eV/atom


Record 4
Material: LiHoTmCr
Method: DFT, PBE
State: optimized geometry

Structure (CIF):
```
data_LiHoTmCr
_cell_length_a 5.028
_cell_length_b 5.028
_cell_length_c 5.028
_cell_angle_alpha 60.00
_cell_angle_beta 60.00
_cell_angle_gamma 60.00
_symmetry_space_group_name_H-M 'P 1'
_symmetry_Int_Tables_number 1
loop_
_symmetry_equiv_pos_as_xyz
'x,y,z'
loop_
_atom_site_label
_atom_site_type_symbol
_atom_site_fract_x
_atom_site_fract_y
_atom_site_fract_z
_atom_site_occupancy
Cr1 Cr 0.500 0.500 0.500 1
Tm1 Tm 0.250 0.250 0.250 1
Li1 Li 0.000 0.000 0.000 1
Ho1 Ho 0.750 0.750 0.750 1
```

**Formation energy from the elements**: 0.162 eV/atom
**Fermi-level density of states**: 0.70 states/eV/atom


Record 5
Material: LiCr2PtRh
Method: DFT, PBE
State: optimized geometry

Structure (CIF):
```
data_LiCr2PtRh
_cell_length_a 4.894
_cell_length_b 4.886
_cell_length_c 4.894
_cell_angle_alpha 90.00
_cell_angle_beta 90.00
_cell_angle_gamma 90.00
_symmetry_space_group_name_H-M 'P 1'
_symmetry_Int_Tables_number 1
loop_
_symmetry_equiv_pos_as_xyz
'x,y,z'
loop_
_atom_site_label
_atom_site_type_symbol
_atom_site_fract_x
_atom_site_fract_y
_atom_site_fract_z
_atom_site_occupancy
Li1 Li 0.500 0.500 0.500 1
Pt1 Pt 0.000 0.000 0.000 1
Cr1 Cr 0.000 0.000 0.500 1
Cr2 Cr 0.500 0.000 0.000 1
Rh1 Rh 0.000 0.500 0.000 1
```

**Formation energy from the elements**: 0.998 eV/atom
**Fermi-level density of states**: 1.71 states/eV/atom


Record 6
Material: LiSi2Ag2
Method: DFT, PBE
State: optimized geometry

Structure (CIF):
```
data_LiSi2Ag2
_cell_length_a 3.513
_cell_length_b 3.513
_cell_length_c 7.408
_cell_angle_alpha 76.28
_cell_angle_beta 76.28
_cell_angle_gamma 90.00
_symmetry_space_group_name_H-M 'P 1'
_symmetry_Int_Tables_number 1
loop_
_symmetry_equiv_pos_as_xyz
'x,y,z'
loop_
_atom_site_label
_atom_site_type_symbol
_atom_site_fract_x
_atom_site_fract_y
_atom_site_fract_z
_atom_site_occupancy
Ag1 Ag 0.598 0.598 0.803 1
Ag2 Ag 0.402 0.402 0.197 1
Li1 Li 0.000 0.000 0.000 1
Si1 Si 0.750 0.250 0.500 1
Si2 Si 0.250 0.750 0.500 1
```

**Formation energy without anion corrections**: 118 meV per atom
**Energy relative to the lowest polymorph listed for this composition**: 41 meV/atom
**Fermi-level density of states**: 0.24 states/eV/atom